Entry 1:
Below is an optimized crystal structure of Sr2Mg3, with properties calculated at the PBEsol level.

abc: 6.561 6.561 9.655
angles: 100.06 100.06 119.08
Positions (direct):
Sr1 0.422 0.264 0.401
Sr2 0.271 0.612 0.099
Sr3 0.862 0.021 0.599
Sr4 0.514 0.172 0.901
Mg1 0.442 0.597 0.755
Mg2 0.847 0.192 0.255
Mg3 0.932 0.932 0.000
Mg4 0.842 0.687 0.245
Mg5 0.937 0.592 0.745
Mg6 0.182 0.682 0.500

Summary:
DFT formation energy ... -0.04 eV per atom
E ... -1.80 eV/atom

---

Entry 2:
Below is an optimized crystal structure of AlAsCl2, with properties calculated at the PBEsol level.

abc: 4.191 4.252 4.252
angles: 90.00 90.00 90.00
Positions (direct):
As1 0.500 0.000 0.000
Al1 0.500 0.500 0.500
Cl1 0.000 0.000 0.500
Cl2 0.000 0.500 0.000

Summary:
Energy above the lowest structure with this stoichiometry ... 1.30 eV per formula unit
E ... -3.19 eV/atom
ΔE_f (raw) ... 45 kJ/mol of formula units

---

Entry 3:
Below is an optimized crystal structure of Zr2AsRu, with properties calculated at the PBEsol level.

abc: 3.343 4.617 4.617
angles: 102.55 90.00 90.00
Positions (direct):
Zr1 0.000 0.500 0.000
Zr2 0.000 0.000 0.500
As1 0.500 0.500 0.500
Ru1 0.500 0.000 0.000

Summary:
DFT formation energy ... -0.62 eV per atom
E ... -8.98 eV/atom

---

Entry 4:
Below is an optimized crystal structure of K2NiAs, with properties calculated at the PBEsol level.

abc: 4.329 5.646 5.642
angles: 120.02 90.00 90.00
Positions (direct):
K1 0.500 0.416 0.833
K2 0.000 0.083 0.166
Ni1 0.000 0.750 0.500
As1 0.500 0.750 0.500

Summary:
DFT formation energy ... -0.20 eV per atom
E ... -3.58 eV/atom

---

Entry 5:
Below is an optimized crystal structure of LaTlP2S, with properties calculated at the PBEsol level.

abc: 4.954 4.954 5.058
angles: 90.00 90.00 90.00
Positions (direct):
La1 0.500 0.500 0.500
S1 0.000 0.000 0.500
Tl1 0.000 0.000 0.000
P1 0.000 0.500 0.000
P2 0.500 0.000 0.000

Summary:
E ... -4.68 eV/atom
ΔE_f (raw) ... 53 kJ/mol of formula units

---

Entry 6:
Below is an optimized crystal structure of NaTl2Sn2, with properties calculated at the PBEsol level.

abc: 4.371 4.371 8.445
angles: 105.00 105.00 90.00
Positions (direct):
Sn1 0.750 0.250 0.500
Sn2 0.250 0.750 0.500
Tl1 0.603 0.603 0.205
Tl2 0.397 0.397 0.795
Na1 0.000 0.000 0.000

Summary:
DFT formation energy ... -0.01 eV per atom
E ... -3.05 eV/atom

---

Entry 7:
Below is an optimized crystal structure of ZrIrRu2, with properties calculated at the PBEsol level.

abc: 3.919 3.919 4.811
angles: 114.04 114.04 90.00
Positions (direct):
Ir1 0.000 0.000 0.000
Zr1 0.500 0.500 0.000
Ru1 0.250 0.750 0.500
Ru2 0.750 0.250 0.500

Summary:
DFT formation energy ... -0.24 eV per atom
Energy above the lowest structure with this stoichiometry ... 0.12 eV per formula unit
E ... -10.05 eV/atom

---

Entry 8:
Below is an optimized crystal structure of KCdIr2, with properties calculated at the PBEsol level.

abc: 2.736 5.279 6.271
angles: 114.89 102.60 90.00
Positions (direct):
Cd1 0.289 0.789 0.579
K1 0.490 0.490 0.980
Ir1 0.705 0.205 0.410
Ir2 0.016 0.016 0.032

Summary:
DFT formation energy ... 0.62 eV per atom
E ... -4.87 eV/atom

---

Entry 9:
Below is an optimized crystal structure of Ni2OsPb, with properties calculated at the PBEsol level.

abc: 4.301 4.301 4.301
angles: 60.00 60.00 60.00
Positions (direct):
Os1 0.000 0.000 0.000
Ni1 0.250 0.250 0.250
Ni2 0.750 0.750 0.750
Pb1 0.500 0.500 0.500

Summary:
DFT formation energy ... 0.61 eV per atom
E ... -6.52 eV/atom

---

Entry 10:
Below is an optimized crystal structure of Mn2CoSi, with properties calculated at the PBEsol level.

abc: 2.776 2.776 5.550
angles: 90.00 90.00 90.00
Each line ends with the local moment (μB).
Positions (direct):
Mn1 0.000 0.000 0.992  2.41
Mn2 0.500 0.500 0.750  -0.40
Co1 0.500 0.500 0.263  0.97
Si1 0.000 0.000 0.495  0.00

Summary:
E ... -8.55 eV/atom
ΔE_f (raw) ... -114 kJ/mol of formula units

---

Entry 11:
Below is an optimized crystal structure of Ta2CdRh, with properties calculated at the PBEsol level.

abc: 2.847 4.135 5.630
angles: 90.00 90.00 90.00
Positions (direct):
Rh1 0.500 0.500 0.500
Ta1 0.000 0.000 0.264
Ta2 0.000 0.000 0.736
Cd1 0.500 0.500 0.000

Summary:
DFT formation energy ... -0.05 eV per atom
E ... -8.66 eV/atom

---

Entry 12:
Below is an optimized crystal structure of CaCuRu2, with properties calculated at the PBEsol level.

abc: 3.148 3.148 6.541
angles: 90.00 90.00 90.00
Each line ends with the local moment (μB).
Positions (direct):
Ru1 0.000 0.000 0.314  0.58
Ru2 0.000 0.000 0.686  0.58
Ca1 0.500 0.500 0.000  0.01
Cu1 0.500 0.500 0.500  0.07

Summary:
DFT formation energy ... 0.57 eV per atom
E ... -6.14 eV/atom

---

Entry 13:
Below is an optimized crystal structure of MnIn2P, with properties calculated at the PBEsol level.

abc: 3.217 3.217 8.418
angles: 78.99 78.99 60.00
Each line ends with the local moment (μB).
Positions (direct):
Mn1 0.514 0.514 0.459  2.04
In1 0.763 0.763 0.710  -0.04
In2 0.992 0.992 0.025  0.01
P1 0.231 0.231 0.306  -0.10

Summary:
DFT formation energy ... 0.04 eV per atom
E ... -5.34 eV/atom

---

Entry 14:
Below is an optimized crystal structure of MgMoAs, with properties calculated at the PBEsol level.

abc: 2.818 4.483 4.483
angles: 120.00 90.00 90.00
Positions (direct):
Mo1 0.500 0.667 0.333
As1 0.500 0.000 0.000
Mg1 0.000 0.333 0.667

Summary:
DFT formation energy ... 0.12 eV per atom
E ... -6.07 eV/atom

---

Entry 15:
Below is an optimized crystal structure of CuP2Ir, with properties calculated at the PBEsol level.

abc: 2.835 2.835 6.561
angles: 90.00 90.00 90.00
Positions (direct):
P1 0.000 0.000 0.746
P2 0.000 0.000 0.254
Ir1 0.500 0.500 0.500
Cu1 0.500 0.500 0.000

Summary:
DFT formation energy ... 0.13 eV per atom
Energy above the lowest structure with this stoichiometry ... 1.20 eV per formula unit
E ... -6.31 eV/atom

---

Entry 16:
Below is an optimized crystal structure of NiAgTe, with properties calculated at the PBEsol level.

abc: 3.701 4.182 4.182
angles: 120.00 90.00 90.00
Positions (direct):
Te1 0.500 0.667 0.333
Ni1 0.500 0.333 0.667
Ag1 0.000 0.000 0.000

Summary:
Energy above the lowest structure with this stoichiometry ... 0.61 eV per formula unit
E ... -4.17 eV/atom
ΔE_f (raw) ... 45 kJ/mol of formula units

---

Entry 17:
Below is an optimized crystal structure of HgAuSe2, with properties calculated at the PBEsol level.

abc: 4.819 4.819 4.819
angles: 60.00 60.00 60.00
Positions (direct):
Au1 0.500 0.500 0.500
Hg1 0.250 0.250 0.250
Se1 0.750 0.750 0.750
Se2 0.000 0.000 0.000

Summary:
E ... -2.66 eV/atom
ΔE_f (raw) ... 148 kJ/mol of formula units

---

Entry 18:
Below is an optimized crystal structure of TcSeN2O, with properties calculated at the PBEsol level.

abc: 3.651 3.865 3.865
angles: 90.00 90.00 90.00
Each line ends with the local moment (μB).
Positions (direct):
N1 0.000 0.500 0.000  -0.03
N2 0.000 0.000 0.500  -0.03
O1 0.500 0.000 0.000  0.14
Se1 0.000 0.000 0.000  0.01
Tc1 0.500 0.500 0.500  3.35

Summary:
E ... -6.08 eV/atom
ΔE_f (raw) ... 677 kJ/mol of formula units

---

Entry 19:
Below is an optimized crystal structure of NiIrPt2, with properties calculated at the PBEsol level.

abc: 2.713 2.713 7.406
angles: 90.00 90.00 90.00
Positions (direct):
Pt1 0.000 0.000 0.981
Pt2 0.500 0.500 0.257
Ir1 0.000 0.000 0.519
Ni1 0.500 0.500 0.743

Summary:
DFT formation energy ... 0.00 eV per atom
Energy above the lowest structure with this stoichiometry ... 0.02 eV per formula unit
E ... -7.47 eV/atom

---

Entry 20:
Below is an optimized crystal structure of PrAs12Ru4, with properties calculated at the PBEsol level.

abc: 7.356 7.356 7.356
angles: 109.47 109.47 109.47
Positions (direct):
As1 0.151 0.500 0.349
As2 0.849 0.198 0.349
As3 0.802 0.651 0.151
As4 0.198 0.349 0.849
As5 0.849 0.500 0.651
As6 0.500 0.651 0.849
As7 0.651 0.151 0.802
As8 0.349 0.849 0.198
As9 0.651 0.849 0.500
As10 0.349 0.151 0.500
As11 0.151 0.802 0.651
As12 0.500 0.349 0.151
Ru1 0.000 0.000 0.500
Ru2 0.500 0.000 0.000
Ru3 0.500 0.500 0.500
Ru4 0.000 0.500 0.000
Pr1 0.000 0.000 0.000

Summary:
DFT formation energy ... -0.49 eV per atom
E ... -6.79 eV/atom

---

Entry 21:
Below is an optimized crystal structure of Zn2IN, with properties calculated at the PBEsol level.

abc: 5.624 6.246 5.624
angles: 116.76 90.00 116.76
Positions (direct):
N1 0.500 0.000 0.500
N2 0.750 0.500 0.250
Zn1 0.711 0.250 0.875
Zn2 0.539 0.250 0.375
Zn3 0.625 0.750 0.289
Zn4 0.125 0.750 0.461
I1 0.250 0.500 0.750
I2 0.000 0.000 0.000

Summary:
E ... -3.61 eV/atom
ΔE_f (raw) ... -94 kJ/mol of formula units

---

Entry 22:
Below is an optimized crystal structure of BaIrO3, with properties calculated at the PBEsol level.

abc: 5.707 5.707 14.381
angles: 90.76 90.76 119.62
Positions (direct):
Ir1 0.655 0.326 0.847
Ir2 0.000 0.000 0.000
Ir3 0.674 0.345 0.653
Ir4 0.326 0.655 0.347
Ir5 0.345 0.674 0.153
Ir6 0.000 0.000 0.500
O1 0.512 0.488 0.750
O2 0.490 0.959 0.258
O3 0.199 0.902 0.095
O4 0.300 0.124 0.912
O5 0.510 0.041 0.742
O6 0.041 0.510 0.242
O7 0.959 0.490 0.758
O8 0.375 0.161 0.555
O9 0.876 0.700 0.588
O10 0.801 0.098 0.905
O11 0.124 0.300 0.412
O12 0.161 0.375 0.055
O13 0.625 0.839 0.445
O14 0.902 0.199 0.595
O15 0.488 0.512 0.250
O16 0.839 0.625 0.945
O17 0.098 0.801 0.405
O18 0.700 0.876 0.088
Ba1 0.675 0.344 0.095
Ba2 0.344 0.675 0.595
Ba3 0.001 0.999 0.250
Ba4 0.999 0.001 0.750
Ba5 0.656 0.325 0.405
Ba6 0.325 0.656 0.905

Summary:
E ... -7.13 eV/atom
ΔE_f (raw) ... -766 kJ/mol of formula units

---

Entry 23:
Below is an optimized crystal structure of Fe2CuW, with properties calculated at the PBEsol level.

abc: 2.613 2.613 8.694
angles: 81.36 81.36 60.00
Each line ends with the local moment (μB).
Positions (direct):
Fe1 0.254 0.254 0.238  2.25
Fe2 0.746 0.746 0.762  2.25
W1 0.500 0.500 0.500  -0.13
Cu1 0.000 0.000 0.000  0.09

Summary:
DFT formation energy ... 0.36 eV per atom
Energy above the lowest structure with this stoichiometry ... 0.85 eV per formula unit
E ... -8.66 eV/atom

---

Entry 24:
Below is an optimized crystal structure of AuCl2, with properties calculated at the PBEsol level.

abc: 3.631 7.001 11.726
angles: 90.00 90.00 90.00
Positions (direct):
Au1 0.750 0.248 0.937
Au2 0.250 0.752 0.063
Au3 0.750 0.748 0.563
Au4 0.250 0.252 0.437
Cl1 0.750 0.258 0.302
Cl2 0.250 0.754 0.427
Cl3 0.250 0.742 0.698
Cl4 0.750 0.746 0.927
Cl5 0.250 0.254 0.073
Cl6 0.250 0.242 0.802
Cl7 0.750 0.246 0.573
Cl8 0.750 0.758 0.198

Summary:
E ... -2.80 eV/atom
ΔE_f (raw) ... -44 kJ/mol of formula units

---

Entry 25:
Below is an optimized crystal structure of HgH3Au, with properties calculated at the PBEsol level.

abc: 3.775 3.775 3.775
angles: 90.00 90.00 90.00
Positions (direct):
H1 0.500 0.000 0.000
H2 0.000 0.000 0.500
H3 0.000 0.500 0.000
Au1 0.000 0.000 0.000
Hg1 0.500 0.500 0.500

Summary:
E ... -2.45 eV/atom

---

Entry 26:
Below is an optimized crystal structure of CoP2CS, with properties calculated at the PBEsol level.

abc: 4.106 4.106 4.580
angles: 90.00 90.00 90.00
Positions (direct):
P1 0.000 0.500 0.000
P2 0.500 0.000 0.000
C1 0.500 0.500 0.500
Co1 0.000 0.000 0.000
S1 0.000 0.000 0.500

Summary:
E ... -5.03 eV/atom
ΔE_f (raw) ... 791 kJ/mol of formula units

---

Entry 27:
Below is an optimized crystal structure of Tl3GeI, with properties calculated at the PBEsol level.

abc: 6.217 6.217 6.217
angles: 90.00 90.00 90.00
Each line ends with the local moment (μB).
Positions (direct):
Tl1 0.500 0.000 0.000  0.02
Tl2 0.000 0.000 0.500  0.02
Tl3 0.000 0.500 0.000  0.02
Ge1 0.500 0.500 0.500  0.56
I1 0.000 0.000 0.000  0.01

Summary:
E ... -2.20 eV/atom
ΔE_f (raw) ... 349 kJ/mol of formula units